## Nd2VInO6 (PBE with a Hubbard U)

Data for a relaxed Nd2VInO6 crystal.

Results
Space group: P2_1/c, No. 14
Calculated total energy: -7.559 eV per atom
Crystal system: monoclinic
DOS at the Fermi energy: 0.00 states/eV/f.u.

Unit cell a=5.586 b=5.881 c=8.052 alpha=90.00 beta=90.14 gamma=90.00
Fractional coordinates of all 20 atoms:
Nd (0.019, 0.938, 0.251)
Nd (0.519, 0.562, 0.751)
Nd (0.981, 0.062, 0.749)
Nd (0.481, 0.438, 0.249)
V (0.500, 0.000, 0.500)
V (0.000, 0.500, 0.000)
In (0.500, 0.000, 0.000)
In (0.000, 0.500, 0.500)
O (0.296, 0.691, 0.056)
O (0.796, 0.809, 0.556)
O (0.704, 0.309, 0.944)
O (0.204, 0.191, 0.444)
O (0.312, 0.706, 0.437)
O (0.812, 0.794, 0.937)
O (0.688, 0.294, 0.563)
O (0.188, 0.206, 0.063)
O (0.886, 0.543, 0.241)
O (0.386, 0.957, 0.741)
O (0.114, 0.457, 0.759)
O (0.614, 0.043, 0.259)